Here is a relaxed Ba2ZrZn crystal from the Alexandria database. Energies are from PBE.

Summary:
DOS at the Fermi energy: 11.4 states/eV per cell
DFT total energy: -2.8803 eV per atom

a b c (Å): 5.185 5.185 9.864
angles (deg): 90.00 90.00 90.00
Space group I-4m2 (No. 119)
One atom of each set of equivalent atoms:
Ba1 0.000 0.000 0.000
Ba2 0.000 0.500 0.250
Zr1 0.000 0.000 0.500
Zn1 0.000 0.500 0.750

=====

Here is a relaxed BaZrZn crystal from the Alexandria database. Energies are from PBE.

Summary:
energy relative to the lowest polymorph listed for this composition: 79.9 kJ/mol of formula units
DOS at the Fermi energy: 5.9 states/eV per cell
DFT total energy: -3.6776 eV per atom

a b c (Å): 5.043 5.043 8.181
angles (deg): 90.00 90.00 90.00
Space group P4/nmm (No. 129, origin choice 2)
One atom of each set of equivalent atoms:
Ba1 0.250 0.250 0.177
Zr1 0.250 0.250 0.616
Zn1 0.250 0.750 0.500

=====

Here is a relaxed BaZr2Zn crystal from the Alexandria database. Energies are from PBE.

Summary:
DOS at the Fermi energy: 2.7 states/eV per cell
DFT total energy: -4.9729 eV per atom

a b c (Å): 3.464 3.464 9.063
angles (deg): 90.00 90.00 90.00
Space group P4mm (No. 99)
One atom of each set of equivalent atoms:
Ba1 0.000 0.000 0.000
Zr1 0.000 0.000 0.436
Zr2 0.500 0.500 0.648
Zn1 0.500 0.500 0.268

=====

Here is a relaxed BaZrZn2 crystal from the Alexandria database. Energies are from PBE.

Summary:
energy relative to the lowest polymorph listed for this composition: 92.8 kJ/mol of formula units
DOS at the Fermi energy: 3.8 states/eV per cell
DFT total energy: -3.0985 eV per atom

a b c (Å): 3.395 3.395 8.727
angles (deg): 90.00 90.00 90.00
Space group P4mm (No. 99)
One atom of each set of equivalent atoms:
Ba1 0.000 0.000 0.000
Zr1 0.500 0.500 0.636
Zn1 0.000 0.000 0.454
Zn2 0.500 0.500 0.293

=====

Here is a relaxed BaZrZn2 crystal from the Alexandria database. Energies are from PBE.

Summary:
energy relative to the lowest polymorph listed for this composition: 48.3 kJ/mol of formula units
DOS at the Fermi energy: 7.4 states/eV per cell
DFT total energy: -3.2138 eV per atom

a b c (Å): 8.045 4.655 6.736
angles (deg): 90.00 113.59 90.00
Space group C2/m (No. 12)
One atom of each set of equivalent atoms:
Ba1 0.000 0.000 0.000
Zr1 0.000 0.500 0.500
Zn1 0.198 0.000 0.596

=====

Here is a relaxed BaZr2Zn crystal from the Alexandria database. Energies are from PBE.

Summary:
DOS at the Fermi energy: 8.6 states/eV per cell
DFT total energy: -4.6208 eV per atom

a b c (Å): 3.495 5.378 10.882
angles (deg): 90.00 90.00 90.00
Space group Imm2 (No. 44)
One atom of each set of equivalent atoms:
Ba1 0.000 0.000 0.000
Zr1 0.000 0.000 0.548
Zr2 0.000 0.500 0.786
Zn1 0.000 0.500 0.248